This record from Alexandria via LeMat-Bulk describes a relaxed structure of PmYTmAg. The functional is PBE.

Calculated values
Mass density   7.64 g cm⁻³
Magnetization   0.0008 μB/atom
Formation energy from the elements   101 meV per atom
DOS at the Fermi energy   1.527 states/eV/atom

Lattice parameters (Å, degrees): 5.395 5.395 5.395 60.00 60.00 60.00
Element x y z (fractional)
Pm 0.250 0.250 0.250
Tm 0.500 0.500 0.500
Ag 0.750 0.750 0.750
Y 0.000 0.000 0.000